Record 1
Here is a relaxed structure of V4OsRh7 from the Alexandria database. Energies are from PBE.

POSCAR file:
```
V4OsRh7
1.0
4.6008 0.0000 0.0000
2.3004 7.7605 0.1191
2.3004 0.4724 5.1331
Rh V Os
7 4 1
Direct
0.7854 0.9081 0.5210
0.5000 0.0000 0.0000
0.2146 0.0919 0.4790
0.6488 0.4418 0.2606
0.3512 0.5582 0.7394
0.0655 0.6494 0.2196
0.9345 0.3506 0.7804
0.2677 0.3225 0.1421
0.4166 0.7667 0.4001
0.5834 0.2333 0.5999
0.7323 0.6775 0.8579
0.0000 0.0000 0.0000
```

Summary:
ΔH_f (0 K): 0.201 eV/atom
Spin magnetization: 0.0000 μB/atom
E: -96.750 eV per cell



Record 2
Here is a relaxed structure of ZrVOsRh from the Alexandria database. Energies are from PBE.

POSCAR file:
```
ZrVOsRh
1.0
4.4925 0.0000 0.0000
2.2463 3.8906 0.0000
2.2463 1.2969 3.6681
Zr V Rh Os
1 1 1 1
Direct
0.7500 0.7500 0.7500
0.2500 0.2500 0.2500
0.0000 0.0000 0.0000
0.5000 0.5000 0.5000
```

Summary:
ΔH_f (0 K): -0.313 eV/atom
Spin magnetization: 0.4053 μB/atom
E: -37.501 eV per cell



Record 3
Here is a relaxed structure of Os2RhW from the Alexandria database. Energies are from PBE.

POSCAR file:
```
Os2RhW
1.0
2.7459 0.0000 0.0000
0.0000 2.7459 0.0000
0.0000 0.0000 7.8497
W Os Rh
1 2 1
Direct
0.5000 0.5000 0.7450
0.0000 0.0000 0.0132
0.5000 0.5000 0.2417
0.0000 0.0000 0.5000
```

Summary:
ΔH_f (0 K): 0.026 eV/atom
Spin magnetization: 0.0000 μB/atom
E above lowest polymorph: 0.1022 eV per atom
E: -42.658 eV per cell



Record 4
Here is a relaxed structure of OsRh2W from the Alexandria database. Energies are from PBE.

POSCAR file:
```
OsRh2W
1.0
3.6090 -2.4919 1.7066
0.4678 1.0798 4.5565
-3.7737 -1.3512 -2.4659
Os Rh W
1 2 1
Direct
0.7500 0.2500 0.5000
0.2500 0.7500 0.5000
0.0000 0.0000 0.0000
0.5000 0.5000 0.0000
```

Summary:
ΔH_f (0 K): -0.082 eV/atom
Spin magnetization: 0.0000 μB/atom
E above lowest polymorph: 0.0596 eV per atom
E: -39.214 eV per cell



Record 5
Here is a relaxed structure of OsRh2W from the Alexandria database. Energies are from PBE.

POSCAR file:
```
OsRh2W
1.0
0.0486 -4.3517 -1.9656
2.4607 -4.0366 -0.6740
-1.6214 -2.5463 3.6490
W Rh Os
1 2 1
Direct
0.0000 0.0000 0.5000
0.2487 0.2487 0.7540
0.7513 0.7513 0.2460
0.5000 0.5000 0.0000
```

Summary:
ΔH_f (0 K): -0.007 eV/atom
Spin magnetization: 0.0000 μB/atom
E above lowest polymorph: 0.1349 eV per atom
E: -38.913 eV per cell



Record 6
Here is a relaxed structure of OsRhW from the Alexandria database. Energies are from PBE.

POSCAR file:
```
OsRhW
1.0
4.4458 -1.0981 1.6648
3.8412 2.9635 -0.4535
-4.6605 0.0476 1.4215
Os W Rh
1 1 1
Direct
0.0098 0.0098 0.0000
0.6629 0.6629 0.0000
0.3272 0.3272 0.0000
```

Summary:
ΔH_f (0 K): 0.266 eV/atom
Spin magnetization: 0.0000 μB/atom
E above lowest polymorph: 0.3843 eV per atom
E: -30.736 eV per cell



Record 7
Here is a relaxed structure of Os2RhW from the Alexandria database. Energies are from PBE.

POSCAR file:
```
Os2RhW
1.0
0.0000 3.1072 3.1072
3.1072 0.0000 3.1072
3.1072 3.1072 0.0000
Os Rh W
2 1 1
Direct
0.7500 0.7500 0.7500
0.2500 0.2500 0.2500
0.0000 0.0000 0.0000
0.5000 0.5000 0.5000
```

Summary:
ΔH_f (0 K): 0.376 eV/atom
Spin magnetization: 0.0000 μB/atom
E above lowest polymorph: 0.4517 eV per atom
E: -41.260 eV per cell



Record 8
Here is a relaxed structure of OsRh2W from the Alexandria database. Energies are from PBE.

POSCAR file:
```
OsRh2W
1.0
-0.6810 2.0999 -2.4751
-2.5017 1.2719 1.7674
3.3962 3.6618 2.1722
Rh W Os
2 1 1
Direct
0.0000 0.0000 0.7493
0.0000 0.0000 0.2507
0.5000 0.5000 0.0000
0.5000 0.5000 0.5000
```

Summary:
ΔH_f (0 K): 0.284 eV/atom
Spin magnetization: 0.0000 μB/atom
E above lowest polymorph: 0.4260 eV per atom
E: -37.748 eV per cell



Record 9
Here is a relaxed structure of OsRh2W2 from the Alexandria database. Energies are from PBE.

POSCAR file:
```
OsRh2W2
1.0
3.6269 0.0000 0.0000
0.0000 3.6269 0.0000
1.8134 1.8134 6.2539
Rh W Os
2 2 1
Direct
0.7500 0.2500 0.5000
0.2500 0.7500 0.5000
0.4016 0.4016 0.1968
0.5984 0.5984 0.8032
0.0000 0.0000 0.0000
```

Summary:
ΔH_f (0 K): 0.647 eV/atom
Spin magnetization: 0.0000 μB/atom
E above lowest polymorph: 0.4277 eV per atom
E: -48.602 eV per cell



Record 10
Here is a relaxed structure of OsRh2W from the Alexandria database. Energies are from PBE.

POSCAR file:
```
OsRh2W
1.0
3.4233 3.1082 -1.2255
-4.0930 2.2676 0.9935
0.7505 0.2065 2.6203
Rh Os W
2 1 1
Direct
0.5000 0.0000 0.0000
0.0000 0.5000 0.0000
0.5000 0.5000 0.5000
0.0000 0.0000 0.5000
```

Summary:
ΔH_f (0 K): -0.035 eV/atom
Spin magnetization: 0.0000 μB/atom
E above lowest polymorph: 0.1061 eV per atom
E: -39.028 eV per cell



Record 11
Here is a relaxed structure of OsRh2W from the Alexandria database. Energies are from PBE.

POSCAR file:
```
OsRh2W
1.0
3.9532 0.0000 0.0000
0.0000 3.8375 0.0000
0.0000 0.0000 3.8375
Os Rh W
1 2 1
Direct
0.5000 0.0000 0.5000
0.0000 0.0000 0.0000
0.0000 0.5000 0.5000
0.5000 0.5000 0.0000
```

Summary:
ΔH_f (0 K): -0.142 eV/atom
Spin magnetization: 0.0000 μB/atom
E above lowest polymorph: 0.0000 eV per atom
E: -39.452 eV per cell



Record 12
Here is a relaxed structure of OsRhW from the Alexandria database. Energies are from PBE.

POSCAR file:
```
OsRhW
1.0
-3.2175 0.3753 0.4512
-0.4400 -0.1989 -3.2348
2.7566 -8.7091 3.4337
W Rh Os
2 2 2
Direct
0.8798 0.8611 0.4948
0.8611 0.8798 0.9948
0.5534 0.5171 0.1594
0.5171 0.5534 0.6594
0.2041 0.2312 0.3425
0.2312 0.2041 0.8425
```

Summary:
ΔH_f (0 K): 0.263 eV/atom
Spin magnetization: 0.0000 μB/atom
E above lowest polymorph: 0.3808 eV per atom
E: -61.493 eV per cell



Record 13
Here is a relaxed structure of OsRh2W from the Alexandria database. Energies are from PBE.

POSCAR file:
```
OsRh2W
1.0
8.9902 -1.3793 -0.0063
8.9902 1.3793 -0.0063
8.7803 0.0000 2.3735
Rh W Os
2 1 1
Direct
0.7509 0.7509 0.7509
0.9988 0.9988 0.9988
0.4988 0.4988 0.4988
0.2515 0.2515 0.2515
```

Summary:
ΔH_f (0 K): 0.047 eV/atom
Spin magnetization: 0.0001 μB/atom
E above lowest polymorph: 0.1885 eV per atom
E: -38.698 eV per cell



Record 14
Here is a relaxed structure of OsRhW from the Alexandria database. Energies are from PBE.

POSCAR file:
```
OsRhW
1.0
-4.0741 -1.6193 -0.0440
3.1846 -2.0161 -2.2397
0.5759 -1.5080 2.1763
Os W Rh
1 1 1
Direct
0.0000 0.0000 0.9999
0.6667 0.3333 0.5002
0.3333 0.6667 0.4999
```

Summary:
ΔH_f (0 K): 0.085 eV/atom
Spin magnetization: 0.0000 μB/atom
E above lowest polymorph: 0.2030 eV per atom
E: -31.280 eV per cell



Record 15
Here is a relaxed structure of Os2RhW2 from the Alexandria database. Energies are from PBE.

POSCAR file:
```
Os2RhW2
1.0
-1.3478 0.5402 2.4125
0.4691 -4.3193 1.2293
6.4517 1.1835 1.6962
Os W Rh
2 2 1
Direct
0.3331 0.0000 0.6663
0.6669 0.0000 0.3337
0.8434 0.5000 0.6868
0.1566 0.5000 0.3132
0.0000 0.0000 0.0000
```

Summary:
ΔH_f (0 K): 0.557 eV/atom
Spin magnetization: 0.0000 μB/atom
E above lowest polymorph: 0.3672 eV per atom
E: -52.930 eV per cell



Record 16
Here is a relaxed structure of OsRh2W2 from the Alexandria database. Energies are from PBE.

POSCAR file:
```
OsRh2W2
1.0
-0.6198 -4.1505 6.1325
-4.6231 -4.5903 -3.5741
2.1745 -1.5463 -0.8268
W Rh Os
4 4 2
Direct
0.8264 0.3264 0.5000
0.1736 0.6736 0.5000
0.3264 0.1736 0.5000
0.6736 0.8264 0.5000
0.3749 0.8749 0.0000
0.1251 0.3749 0.0000
0.8749 0.6251 0.0000
0.6251 0.1251 0.0000
0.0000 0.0000 0.0000
0.5000 0.5000 0.0000
```

Summary:
ΔH_f (0 K): 0.220 eV/atom
Spin magnetization: 0.0024 μB/atom
E above lowest polymorph: 0.0000 eV per atom
E: -101.481 eV per cell



Record 17
Here is a relaxed structure of OsRhW3 from the Alexandria database. Energies are from PBE.

POSCAR file:
```
OsRhW3
1.0
-2.8669 1.2923 3.4856
2.7861 -2.1674 3.0951
2.4612 3.9587 0.5567
W Os Rh
3 1 1
Direct
0.0000 0.5000 0.0000
0.5000 0.0000 0.0000
0.0000 0.0000 0.5000
0.0000 0.0000 0.0000
0.5000 0.5000 0.5000
```

Summary:
ΔH_f (0 K): 2.012 eV/atom
Spin magnetization: 0.0000 μB/atom
E above lowest polymorph: 0.0000 eV per atom
E: -47.381 eV per cell



Record 18
Here is a relaxed structure of Os2RhW from the Alexandria database. Energies are from PBE.

POSCAR file:
```
Os2RhW
1.0
2.7522 0.0000 0.0000
0.0000 3.8777 0.0000
0.0000 0.0000 5.5366
W Os Rh
1 2 1
Direct
0.0000 0.5000 0.7510
0.0000 0.5000 0.2341
0.5000 0.0000 0.0147
0.5000 0.0000 0.5002
```

Summary:
ΔH_f (0 K): 0.002 eV/atom
Spin magnetization: 0.0000 μB/atom
E above lowest polymorph: 0.0780 eV per atom
E: -42.755 eV per cell



Record 19
Here is a relaxed structure of Os2RhW from the Alexandria database. Energies are from PBE.

POSCAR file:
```
Os2RhW
1.0
-0.8423 8.4709 3.3267
-2.4040 7.1459 5.1662
0.3231 7.2791 5.5175
W Rh Os
1 1 2
Direct
0.2493 0.2493 0.2493
0.4996 0.4996 0.4996
0.0019 0.0019 0.0019
0.7493 0.7493 0.7493
```

Summary:
ΔH_f (0 K): 0.090 eV/atom
Spin magnetization: 0.0000 μB/atom
E above lowest polymorph: 0.1656 eV per atom
E: -42.405 eV per cell



Record 20
Here is a relaxed structure of OsRh2W from the Alexandria database. Energies are from PBE.

POSCAR file:
```
OsRh2W
1.0
1.3631 4.5420 -0.0005
-1.3631 4.5420 -0.0005
0.0000 0.7924 4.7347
Rh Os W
2 1 1
Direct
0.2463 0.2463 0.2537
0.0045 0.0045 0.9901
0.7499 0.7499 0.7607
0.4992 0.4992 0.4956
```

Summary:
ΔH_f (0 K): -0.036 eV/atom
Spin magnetization: 0.0000 μB/atom
E above lowest polymorph: 0.1058 eV per atom
E: -39.029 eV per cell



Record 21
Here is a relaxed structure of OsRh2W from the Alexandria database. Energies are from PBE.

POSCAR file:
```
OsRh2W
1.0
9.0088 -1.3737 -0.0050
9.0088 1.3737 -0.0050
8.8006 0.0000 2.3653
Rh Os W
2 1 1
Direct
0.7492 0.7492 0.7492
0.2508 0.2508 0.2508
0.0000 0.0000 0.0000
0.5000 0.5000 0.5000
```

Summary:
ΔH_f (0 K): 0.035 eV/atom
Spin magnetization: 0.0000 μB/atom
E above lowest polymorph: 0.1765 eV per atom
E: -38.746 eV per cell



Record 22
Here is a relaxed structure of Os2RhW from the Alexandria database. Energies are from PBE.

POSCAR file:
```
Os2RhW
1.0
2.7628 0.0000 0.0000
0.0000 4.7468 -0.0106
0.0000 1.5713 4.4783
Os Rh W
2 1 1
Direct
0.0000 0.0000 0.0000
0.5000 0.0000 0.5000
0.5000 0.5000 0.0000
0.0000 0.5000 0.5000
```

Summary:
ΔH_f (0 K): 0.002 eV/atom
Spin magnetization: 0.0000 μB/atom
E above lowest polymorph: 0.0781 eV per atom
E: -42.754 eV per cell



Record 23
Here is a relaxed structure of OsRhW from the Alexandria database. Energies are from PBE.

POSCAR file:
```
OsRhW
1.0
-4.0726 0.6329 4.5585
-6.0248 0.0759 1.2093
5.0847 -2.2891 -2.5831
Os W Rh
1 1 1
Direct
0.0013 0.0013 0.0000
0.6651 0.6651 0.0000
0.3337 0.3337 0.0000
```

Summary:
ΔH_f (0 K): 0.024 eV/atom
Spin magnetization: 0.0000 μB/atom
E above lowest polymorph: 0.1424 eV per atom
E: -31.462 eV per cell



Record 24
Here is a relaxed structure of OsRh2W from the Alexandria database. Energies are from PBE.

POSCAR file:
```
OsRh2W
1.0
-3.2343 -1.3502 3.2683
-0.7831 3.5014 3.1768
0.0156 -0.0982 -4.7912
W Rh Os
1 2 1
Direct
0.0000 0.0000 0.0000
0.2500 0.7500 0.5000
0.7500 0.2500 0.5000
0.5000 0.5000 0.0000
```

Summary:
ΔH_f (0 K): -0.095 eV/atom
Spin magnetization: 0.0000 μB/atom
E above lowest polymorph: 0.0464 eV per atom
E: -39.266 eV per cell



Record 25
Here is a relaxed structure of Os2RhW from the Alexandria database. Energies are from PBE.

POSCAR file:
```
Os2RhW
1.0
1.3767 4.5501 -0.0003
-1.3767 4.5501 -0.0003
0.0000 0.8565 4.7056
Os W Rh
2 1 1
Direct
0.7477 0.7477 0.2482
0.2523 0.2523 0.7518
0.0000 0.0000 0.5000
0.5000 0.5000 0.0000
```

Summary:
ΔH_f (0 K): 0.041 eV/atom
Spin magnetization: 0.0000 μB/atom
E above lowest polymorph: 0.1169 eV per atom
E: -42.599 eV per cell



Record 26
Here is a relaxed structure of Os2RhW from the Alexandria database. Energies are from PBE.

POSCAR file:
```
Os2RhW
1.0
-1.9555 1.9555 3.8466
1.9555 -1.9555 3.8466
1.9555 1.9555 -3.8466
Os Rh W
2 1 1
Direct
0.7500 0.2500 0.5000
0.2500 0.7500 0.5000
0.0000 0.0000 0.0000
0.5000 0.5000 0.0000
```

Summary:
ΔH_f (0 K): -0.003 eV/atom
Spin magnetization: 0.0000 μB/atom
E above lowest polymorph: 0.0724 eV per atom
E: -42.777 eV per cell



Record 27
Here is a relaxed structure of OsRh2W from the Alexandria database. Energies are from PBE.

POSCAR file:
```
OsRh2W
1.0
-3.9855 0.7747 1.6576
-2.6362 -3.3503 1.0285
-0.8421 -0.9167 4.2048
W Os Rh
1 1 2
Direct
0.7500 0.7500 0.7501
0.5000 0.5000 0.5000
0.2500 0.2500 0.2499
0.0000 0.0000 0.0000
```

Summary:
ΔH_f (0 K): 0.226 eV/atom
Spin magnetization: 0.0001 μB/atom
E above lowest polymorph: 0.3671 eV per atom
E: -37.984 eV per cell



Record 28
Here is a relaxed structure of Os2RhW from the Alexandria database. Energies are from PBE.

POSCAR file:
```
Os2RhW
1.0
1.3806 4.5735 -0.0029
-1.3806 4.5735 -0.0029
0.0000 0.8609 4.6771
Os W Rh
2 1 1
Direct
0.7455 0.7455 0.7665
0.0021 0.0021 0.9821
0.2523 0.2523 0.2549
0.5000 0.5000 0.4966
```

Summary:
ΔH_f (0 K): 0.030 eV/atom
Spin magnetization: 0.0000 μB/atom
E above lowest polymorph: 0.1059 eV per atom
E: -42.643 eV per cell



Record 29
Here is a relaxed structure of Os2RhW from the Alexandria database. Energies are from PBE.

POSCAR file:
```
Os2RhW
1.0
4.7526 -0.0046 -0.0070
1.5692 4.4861 0.0066
-3.1570 -2.2464 2.7539
W Os Rh
1 2 1
Direct
0.2509 0.7491 0.5000
0.7494 0.2505 0.5000
0.9999 0.0002 0.0000
0.4998 0.5002 0.0000
```

Summary:
ΔH_f (0 K): -0.031 eV/atom
Spin magnetization: 0.0000 μB/atom
E above lowest polymorph: 0.0449 eV per atom
E: -42.887 eV per cell



Record 30
Here is a relaxed structure of OsRh2W from the Alexandria database. Energies are from PBE.

POSCAR file:
```
OsRh2W
1.0
3.7500 0.0000 0.0000
0.0000 3.7500 0.0000
1.8750 1.8750 9.0806
Os Rh W
2 4 2
Direct
0.0000 0.0000 0.0000
0.7500 0.2500 0.5000
0.1193 0.6250 0.2500
0.6307 0.1250 0.2500
0.8750 0.8807 0.7500
0.3750 0.3693 0.7500
0.2500 0.7500 0.5000
0.5000 0.5000 0.0000
```

Summary:
ΔH_f (0 K): 0.485 eV/atom
Spin magnetization: 0.0000 μB/atom
E above lowest polymorph: 0.6270 eV per atom
E: -73.888 eV per cell